Record 1
A relaxed Na2PaS4 crystal, computed with PBE-GGA.

DOS at the Fermi energy: 8.73 states/eV/f.u.
Excess energy over the best structure of this formula in the dataset: 0 meV/atom
ΔE_f (raw): -1195 meV per atom
Uncorrected energy: -74.01 eV for the cell shown

abc: 4.1622 7.1274 11.7610
angles: 90.00 90.00 90.00
Last column: nearest neighbours and their distance in Å.
Element x y z (fractional)
1 Na 0.5000 0.9176 0.8143  6 S 2.90-3.05
2 Na 0.5000 0.0824 0.1857  6 S 2.90-3.05
3 Na 0.5000 0.4176 0.6857  6 S 2.90-3.05
4 Na 0.5000 0.5824 0.3143  6 S 2.90-3.05
5 Pa 0.0000 0.0000 0.5000  6 S 2.55-2.70
6 Pa 0.0000 0.5000 0.0000  6 S 2.55-2.70
7 S 0.0000 0.6348 0.7987  1 Pa 2.55
8 S 0.0000 0.3652 0.2013  1 Pa 2.55
9 S 0.0000 0.1348 0.7013  1 Pa 2.55
10 S 0.0000 0.8652 0.2987  1 Pa 2.55
11 S 0.5000 0.7714 0.5471  2 Pa 2.70, 1 Na 3.00
12 S 0.5000 0.2286 0.4529  2 Pa 2.70, 1 Na 3.00
13 S 0.5000 0.7286 0.0471  2 Pa 2.70, 1 Na 3.00
14 S 0.5000 0.2714 0.9529  2 Pa 2.70, 1 Na 3.00

=====

Record 2
A relaxed NaPa2S5 crystal, computed with PBE-GGA.

DOS at the Fermi energy: 4.05 states/eV/f.u.
ΔE_f (raw): -1507 meV per atom
Uncorrected energy: -106.01 eV for the cell shown

abc: 5.3417 7.1140 13.2482
angles: 90.00 90.00 112.05
Last column: nearest neighbours and their distance in Å.
Element x y z (fractional)
1 Na 0.2148 0.4296 0.2500  6 S 2.84-3.05
2 Na 0.7852 0.5704 0.7500  6 S 2.84-3.05
3 Pa 0.1420 0.2840 0.9431  6 S 2.61-2.76
4 Pa 0.1420 0.2840 0.5569  6 S 2.61-2.76
5 Pa 0.8580 0.7160 0.4431  6 S 2.61-2.76
6 Pa 0.8580 0.7160 0.0569  6 S 2.61-2.76
7 S 0.3236 0.6473 0.4534  3 Pa 2.71-2.76
8 S 0.3236 0.6473 0.0466  3 Pa 2.71-2.76
9 S 0.0464 0.0929 0.3840  2 Pa 2.61, 1 Na 2.84
10 S 0.0464 0.0929 0.1160  2 Pa 2.61, 1 Na 2.84
11 S 0.2058 0.4116 0.7500  2 Pa 2.69, 2 Na 2.87
12 S 0.7942 0.5884 0.2500  2 Pa 2.69, 2 Na 2.87
13 S 0.9536 0.9071 0.8840  2 Pa 2.61, 1 Na 2.84
14 S 0.9536 0.9071 0.6160  2 Pa 2.61, 1 Na 2.84
15 S 0.6764 0.3527 0.5466  3 Pa 2.71-2.76
16 S 0.6764 0.3527 0.9534  3 Pa 2.71-2.76

=====

Record 3
A relaxed Na2Pa4S9 crystal, computed with PBE-GGA.

DOS at the Fermi energy: 13.78 states/eV/f.u.
ΔE_f (raw): -1508 meV per atom
Uncorrected energy: -200.77 eV for the cell shown

abc: 6.9969 6.9974 18.7536
angles: 90.00 90.00 60.01
Last column: nearest neighbours and their distance in Å.
Element x y z (fractional)
1 Na 0.9998 0.0000 0.3475  6 S 2.90-2.96
2 Na 0.9998 0.0000 0.1527  6 S 2.90-2.96
3 Na 0.0002 0.0000 0.6525  6 S 2.90-2.96
4 Na 0.0002 0.0000 0.8473  6 S 2.90-2.96
5 Pa 0.3333 0.3333 0.9856  6 S 2.71-2.73
6 Pa 0.3333 0.3333 0.4856  6 S 2.71-2.73
7 Pa 0.6667 0.6667 0.0144  6 S 2.71-2.73
8 Pa 0.3331 0.3334 0.1814  6 S 2.67-2.77
9 Pa 0.6667 0.6667 0.5144  6 S 2.71-2.73
10 Pa 0.6665 0.6666 0.3187  6 S 2.67-2.77
11 Pa 0.3335 0.3334 0.6813  6 S 2.67-2.77
12 Pa 0.6669 0.6666 0.8186  6 S 2.67-2.77
13 S 0.0002 0.3327 0.7500  2 Pa 2.67, 2 Na 2.96
14 S 0.3328 0.6674 0.7499  2 Pa 2.67, 2 Na 2.96
15 S 0.6676 0.0001 0.7500  2 Pa 2.67, 2 Na 2.96
16 S 0.9998 0.6673 0.2500  2 Pa 2.67, 2 Na 2.96
17 S 0.6672 0.3326 0.2501  2 Pa 2.67, 2 Na 2.96
18 S 0.3324 0.9999 0.2500  2 Pa 2.67, 2 Na 2.96
19 S 0.6477 0.9687 0.4180  3 Pa 2.71-2.77, 1 Na 2.90
20 S 0.9686 0.3836 0.4180  3 Pa 2.71-2.77, 1 Na 2.90
21 S 0.3833 0.6479 0.4181  3 Pa 2.71-2.77, 1 Na 2.90
22 S 0.6164 0.0314 0.0820  3 Pa 2.71-2.77, 1 Na 2.90
23 S 0.3522 0.6164 0.0820  3 Pa 2.71-2.77, 1 Na 2.90
24 S 0.0313 0.3521 0.0820  3 Pa 2.71-2.77, 1 Na 2.90
25 S 0.3523 0.0313 0.5820  3 Pa 2.71-2.77, 1 Na 2.90
26 S 0.0314 0.6164 0.5820  3 Pa 2.71-2.77, 1 Na 2.90
27 S 0.6167 0.3521 0.5819  3 Pa 2.71-2.77, 1 Na 2.90
28 S 0.3836 0.9686 0.9180  3 Pa 2.71-2.77, 1 Na 2.90
29 S 0.6478 0.3836 0.9180  3 Pa 2.71-2.77, 1 Na 2.90
30 S 0.9687 0.6479 0.9180  3 Pa 2.71-2.77, 1 Na 2.90

=====

Record 4
A relaxed Na2Pa3S6 crystal, computed with PBE-GGA.

DOS at the Fermi energy: 12.34 states/eV/f.u.
ΔE_f (raw): -1481 meV per atom
Uncorrected energy: -72.18 eV for the cell shown

abc: 6.8562 6.8461 7.2497
angles: 81.01 71.83 59.95
Last column: nearest neighbours and their distance in Å.
Element x y z (fractional)
1 Na 0.1676 0.6648 0.5000  6 S 2.93-2.95
2 Na 0.8324 0.3352 0.5000  6 S 2.93-2.95
3 Pa 0.0000 0.0000 0.0000  6 S 2.76-2.77
4 Pa 0.3385 0.3230 0.0000  6 S 2.76-2.77
5 Pa 0.6615 0.6770 0.0000  6 S 2.76-2.77
6 S 0.4076 0.6607 0.7762  3 Pa 2.77, 2 Na 2.95
7 S 0.7494 0.0000 0.7672  3 Pa 2.76, 2 Na 2.93
8 S 0.0683 0.3393 0.7762  3 Pa 2.77, 2 Na 2.95
9 S 0.2506 0.0000 0.2328  3 Pa 2.76, 2 Na 2.93
10 S 0.5924 0.3393 0.2238  3 Pa 2.77, 2 Na 2.95
11 S 0.9317 0.6607 0.2238  3 Pa 2.77, 2 Na 2.95

=====

Record 5
A relaxed Na3Pa2S6 crystal, computed with PBE-GGA.

DOS at the Fermi energy: 1.05 states/eV/f.u.
ΔE_f (raw): -1259 meV per atom
Uncorrected energy: -61.57 eV for the cell shown

abc: 5.2224 5.2224 12.1591
angles: 102.40 102.40 90.00
Last column: nearest neighbours and their distance in Å.
Element x y z (fractional)
1 Na 0.0000 0.0000 0.0000  8 S 3.20
2 Na 0.8220 0.8220 0.6440  1 S 2.76
3 Na 0.1780 0.1780 0.3560  1 S 2.76
4 Pa 0.4024 0.4024 0.8048  5 S 2.43-2.64
5 Pa 0.5976 0.5976 0.1952  5 S 2.43-2.64
6 S 0.0799 0.5799 0.1597  2 Pa 2.64
7 S 0.5799 0.0799 0.1597  2 Pa 2.64
8 S 0.9201 0.4201 0.8403  2 Pa 2.64
9 S 0.4201 0.9201 0.8403  2 Pa 2.64
10 S 0.7027 0.7027 0.4054  1 Pa 2.43
11 S 0.2973 0.2973 0.5946  1 Pa 2.43

=====

Record 6
A relaxed Na4PaS5 crystal, computed with PBE-GGA.

DOS at the Fermi energy: 5.90 states/eV/f.u.
ΔE_f (raw): -1239 meV per atom
Uncorrected energy: -47.80 eV for the cell shown

abc: 5.6148 7.0427 7.0427
angles: 80.86 66.51 66.51
Last column: nearest neighbours and their distance in Å.
Element x y z (fractional)
1 Na 0.4100 0.3930 0.7891  6 S 2.82-3.09
2 Na 0.8030 0.7891 0.6070  6 S 2.82-3.09
3 Na 0.1990 0.2109 0.3930  6 S 2.82-3.09
4 Na 0.5921 0.6070 0.2109  6 S 2.82-3.09
5 Pa 0.0011 0.0000 0.0000  6 S 2.61-2.81
6 S 0.9158 0.3575 0.8130  1 Pa 2.61, 3 Na 2.82-2.87
7 S 0.2733 0.8130 0.6425  1 Pa 2.61, 3 Na 2.82-2.87
8 S 0.7288 0.1870 0.3575  1 Pa 2.61, 3 Na 2.82-2.87
9 S 0.0863 0.6425 0.1870  1 Pa 2.61, 3 Na 2.82-2.87
10 S 0.5010 0.0000 0.0000  2 Pa 2.81, 4 Na 2.88

=====

Look up the ΔE_f (raw) of the fifth one. -1259 meV per atom

=====

Look up the ΔE_f (raw) of the sixth one. -1239 meV per atom

=====

Number 3 is which compound? Na2Pa4S9

=====

Which formula does entry 1 have? Na2PaS4